Compound: Ca2InPt
Source: the Alexandria database
Functional: PBE
Structure: optimized geometry

Lattice parameters (Å, degrees): 6.633 6.633 5.121 112.65 112.65 30.28
Fractional positions:
Ca (0.000, 0.000, 0.000)
Ca (0.198, 0.198, 0.699)
In (0.802, 0.802, 0.303)
Pt (0.490, 0.490, 0.490)

Formation energy   -13.61 kcal/mol of atoms
Final energy   -3.7857 eV/atom
Calculated density   6218 kg/m3
Symmetry   No. 8
D(E_F)   2.26 states/eV/f.u.
Crystal system   monoclinic